[1]
The following is a PBE-GGA calculation of crystalline RbMg6AlO8 at its relaxed geometry, from the Alexandria database.

POSCAR file:
```
RbMg6AlO8
1.0
-2.029 -3.676 -1.713
4.055 -1.819 -0.900
0.082 -3.706 7.855
Mg O Al Rb
6 8 1 1
direct
0.500 0.000 0.251
0.500 0.000 0.749
0.000 0.500 0.749
0.000 0.500 0.251
0.500 0.500 0.500
0.000 0.000 0.500
0.500 0.500 0.719
0.500 0.500 0.281
0.000 0.000 0.778
0.500 0.000 0.000
0.000 0.500 0.500
0.000 0.500 0.000
0.000 0.000 0.222
0.500 0.000 0.500
0.000 0.000 0.000
0.500 0.500 0.000
```

Energy relative to the elements, uncorrected: -2118.6 meV per atom
Energy relative to the lowest polymorph listed for this composition: 0.089 eV/atom
Crystal system: tetragonal
Total moment: 0.0 μB/f.u.
Symmetry: P4/mmm
DFT total energy: -5.49 eV/atom
Density of states at the Fermi level: 2.29 states/eV/cell

---

[2]
The following is a PBE-GGA calculation of crystalline RbMg6AlO8 at its relaxed geometry, from the Alexandria database.

POSCAR file:
```
RbMg6AlO8
1.0
4.609 0.000 0.000
0.000 4.609 0.000
0.000 0.000 8.461
Rb Mg O Al
1 6 8 1
direct
0.000 0.000 0.500
0.500 0.500 0.500
0.500 0.000 0.748
0.500 0.500 0.000
0.000 0.500 0.748
0.500 0.000 0.252
0.000 0.500 0.252
0.500 0.000 0.000
0.000 0.500 0.500
0.500 0.500 0.246
0.500 0.000 0.500
0.000 0.500 0.000
0.000 0.000 0.795
0.500 0.500 0.754
0.000 0.000 0.205
0.000 0.000 0.000
```

Energy relative to the elements, uncorrected: -2207.5 meV per atom
Energy relative to the lowest polymorph listed for this composition: 0.000 eV/atom
Crystal system: tetragonal
Total moment: 0.0 μB/f.u.
Symmetry: P4/mmm
DFT total energy: -5.58 eV/atom
Density of states at the Fermi level: 2.76 states/eV/cell

---

[3]
The following is a PBE-GGA calculation of crystalline RbMgAlO3 at its relaxed geometry, from the Alexandria database.

POSCAR file:
```
RbMgAlO3
1.0
3.108 0.000 0.000
-1.554 7.802 -0.194
0.000 -2.666 8.279
Al Mg O Rb
2 2 6 2
direct
0.992 0.983 0.347
0.008 0.017 0.653
0.326 0.652 0.508
0.674 0.348 0.492
0.487 0.973 0.241
0.198 0.395 0.354
0.087 0.174 0.539
0.913 0.826 0.461
0.513 0.027 0.759
0.802 0.605 0.646
0.362 0.724 0.901
0.638 0.276 0.099
```

Energy relative to the elements, uncorrected: -2336.1 meV per atom
Crystal system: monoclinic
Total moment: 0.0 μB/f.u.
Symmetry: C2/m
DFT total energy: -5.87 eV/atom

---

Look up the total moment of the first one.
0.0 μB/f.u.

---

Number 2 is which compound?
RbMg6AlO8

---

Number 1 is which compound?
RbMg6AlO8